# NiSn2Pt GGA-PBE relaxed
data_NiSn2Pt
_symmetry_space_group_name_H-M 'P 1'
_symmetry_Int_Tables_number 1
_symmetry_space_group_name_Hall 'P 1'
_cell_length_a 4.681
_cell_length_b 4.681
_cell_length_c 4.681
_cell_angle_alpha 60.00
_cell_angle_beta 60.00
_cell_angle_gamma 60.00
loop_
_atom_site_label
_atom_site_fract_x
_atom_site_fract_y
_atom_site_fract_z
Ni1 0.000 0.000 0.000
Sn1 0.250 0.250 0.250
Sn2 0.750 0.750 0.750
Pt1 0.500 0.500 0.500
# SG: Fm-3m, No. 225
# DOS(E_F) in states/eV/cell: 2.485
# Relative energy among the computed polymorphs in meV/atom: 0
# E in eV per cell: -20.24

# Pr2TmMg GGA-PBE relaxed
data_Pr2TmMg
_symmetry_space_group_name_H-M 'P 1'
_symmetry_Int_Tables_number 1
_symmetry_space_group_name_Hall 'P 1'
_cell_length_a 12.685
_cell_length_b 12.685
_cell_length_c 12.685
_cell_angle_alpha 15.91
_cell_angle_beta 15.91
_cell_angle_gamma 15.91
loop_
_atom_site_label
_atom_site_fract_x
_atom_site_fract_y
_atom_site_fract_z
Pr1 0.090 0.090 0.090
Pr2 0.910 0.910 0.910
Tm1 0.500 0.500 0.500
Mg1 0.000 0.000 0.000
# SG: R-3m, No. 166
# DOS(E_F) in states/eV/cell: 4.240
# Relative energy among the computed polymorphs in meV/atom: 207
# E in eV per cell: -14.91

# Dy5HoAl2 GGA-PBE relaxed
data_Dy5HoAl2
_symmetry_space_group_name_H-M 'P 1'
_symmetry_Int_Tables_number 1
_symmetry_space_group_name_Hall 'P 1'
_cell_length_a 8.236
_cell_length_b 8.236
_cell_length_c 8.236
_cell_angle_alpha 155.36
_cell_angle_beta 102.88
_cell_angle_gamma 82.43
loop_
_atom_site_label
_atom_site_fract_x
_atom_site_fract_y
_atom_site_fract_z
Dy1 0.000 0.000 0.000
Dy2 0.089 0.363 0.726
Dy3 0.363 0.637 0.726
Dy4 0.637 0.363 0.274
Dy5 0.911 0.637 0.274
Ho1 0.500 0.000 0.500
Al1 0.263 0.263 0.000
Al2 0.737 0.737 0.000
# SG: Immm, No. 71
# DOS(E_F) in states/eV/cell: 11.446
# E in eV per cell: -35.74

Looking at energy of formation for the records above, in order, we have -0.104, 0.179, -0.084 eV per atom.